Run i
A plane-wave DFT calculation with PBE with a Hubbard U was carried out for an optimized crystal structure of VAsP2O.

Geometry as CIF:
```
data_VAsP2O
_cell_length_a 4.800
_cell_length_b 4.800
_cell_length_c 3.580
_cell_angle_alpha 90.00
_cell_angle_beta 90.00
_cell_angle_gamma 90.00
_space_group_name_H-M_alt 'P 4/m m m'
_space_group_IT_number 123
_space_group_name_Hall '-P 4 2'
loop_
_atom_site_label
_atom_site_fract_x
_atom_site_fract_y
_atom_site_fract_z
V1 0.000 0.000 0.000
As1 0.500 0.500 0.500
P1 0.000 0.500 0.500
O1 0.500 0.500 0.000
```

Run ii
A plane-wave DFT calculation with PBE with a Hubbard U was carried out for an optimized crystal structure of VAsP2O.

Geometry as CIF:
```
data_VAsP2O
_cell_length_a 4.763
_cell_length_b 4.763
_cell_length_c 3.580
_cell_angle_alpha 90.00
_cell_angle_beta 90.00
_cell_angle_gamma 90.00
_space_group_name_H-M_alt 'P 4/m m m'
_space_group_IT_number 123
_space_group_name_Hall '-P 4 2'
loop_
_atom_site_label
_atom_site_fract_x
_atom_site_fract_y
_atom_site_fract_z
V1 0.000 0.000 0.000
As1 0.500 0.500 0.500
P1 0.000 0.500 0.000
O1 0.000 0.000 0.500
```

Which of them is the most stable, and which is the least stable? run ii and run i, in that order.

Run i
A plane-wave DFT calculation with PBE with a Hubbard U was carried out for an optimized crystal structure of VAsPO2.

Geometry as CIF:
```
data_VAsPO2
_cell_length_a 3.682
_cell_length_b 3.682
_cell_length_c 5.375
_cell_angle_alpha 90.00
_cell_angle_beta 90.00
_cell_angle_gamma 90.00
_space_group_name_H-M_alt 'P 4/m m m'
_space_group_IT_number 123
_space_group_name_Hall '-P 4 2'
loop_
_atom_site_label
_atom_site_fract_x
_atom_site_fract_y
_atom_site_fract_z
V1 0.000 0.000 0.000
As1 0.500 0.500 0.500
P1 0.000 0.000 0.500
O1 0.000 0.500 0.000
```

Run ii
A plane-wave DFT calculation with PBE with a Hubbard U was carried out for an optimized crystal structure of VAsPO2.

Geometry as CIF:
```
data_VAsPO2
_cell_length_a 3.749
_cell_length_b 3.749
_cell_length_c 4.965
_cell_angle_alpha 90.00
_cell_angle_beta 90.00
_cell_angle_gamma 90.00
_space_group_name_H-M_alt 'P 4/m m m'
_space_group_IT_number 123
_space_group_name_Hall '-P 4 2'
loop_
_atom_site_label
_atom_site_fract_x
_atom_site_fract_y
_atom_site_fract_z
V1 0.000 0.000 0.000
As1 0.500 0.500 0.500
P1 0.500 0.500 0.000
O1 0.000 0.500 0.500
```

Which of them is the most stable, and which is the least stable? run i and run ii, in that order.

Run i
A plane-wave DFT calculation with PBE with a Hubbard U was carried out for an optimized crystal structure of AsPWO2.

Geometry as CIF:
```
data_AsPWO2
_cell_length_a 3.845
_cell_length_b 3.845
_cell_length_c 5.489
_cell_angle_alpha 90.00
_cell_angle_beta 90.00
_cell_angle_gamma 90.00
_space_group_name_H-M_alt 'P 4/m m m'
_space_group_IT_number 123
_space_group_name_Hall '-P 4 2'
loop_
_atom_site_label
_atom_site_fract_x
_atom_site_fract_y
_atom_site_fract_z
As1 0.000 0.000 0.000
P1 0.500 0.500 0.000
W1 0.500 0.500 0.500
O1 0.000 0.500 0.500
```

Run ii
A plane-wave DFT calculation with PBE with a Hubbard U was carried out for an optimized crystal structure of AsPWO2.

Geometry as CIF:
```
data_AsPWO2
_cell_length_a 3.747
_cell_length_b 3.747
_cell_length_c 5.206
_cell_angle_alpha 90.00
_cell_angle_beta 90.00
_cell_angle_gamma 90.00
_space_group_name_H-M_alt 'P 4/m m m'
_space_group_IT_number 123
_space_group_name_Hall '-P 4 2'
loop_
_atom_site_label
_atom_site_fract_x
_atom_site_fract_y
_atom_site_fract_z
As1 0.000 0.000 0.000
P1 0.000 0.000 0.500
W1 0.500 0.500 0.500
O1 0.000 0.500 0.000
```

Which of them is the most stable, and which is the least stable? run i and run ii, in that order.

Run i
A plane-wave DFT calculation with PBE with a Hubbard U was carried out for an optimized crystal structure of AsP2WO.

Geometry as CIF:
```
data_AsP2WO
_cell_length_a 4.763
_cell_length_b 4.763
_cell_length_c 3.634
_cell_angle_alpha 90.00
_cell_angle_beta 90.00
_cell_angle_gamma 90.00
_space_group_name_H-M_alt 'P 4/m m m'
_space_group_IT_number 123
_space_group_name_Hall '-P 4 2'
loop_
_atom_site_label
_atom_site_fract_x
_atom_site_fract_y
_atom_site_fract_z
As1 0.000 0.000 0.000
P1 0.000 0.500 0.000
W1 0.500 0.500 0.500
O1 0.000 0.000 0.500
```

Run ii
A plane-wave DFT calculation with PBE with a Hubbard U was carried out for an optimized crystal structure of AsP2WO.

Geometry as CIF:
```
data_AsP2WO
_cell_length_a 4.923
_cell_length_b 4.923
_cell_length_c 3.785
_cell_angle_alpha 90.00
_cell_angle_beta 90.00
_cell_angle_gamma 90.00
_space_group_name_H-M_alt 'P 4/m m m'
_space_group_IT_number 123
_space_group_name_Hall '-P 4 2'
loop_
_atom_site_label
_atom_site_fract_x
_atom_site_fract_y
_atom_site_fract_z
As1 0.000 0.000 0.000
P1 0.000 0.500 0.500
W1 0.500 0.500 0.500
O1 0.500 0.500 0.000
```

Which of them is the most stable, and which is the least stable? run ii and run i, in that order.